Material: ZrScSb2
Method: DFT, PBE
State: optimized geometry

The value obtained for the raw total energy is -6.37 eV/atom. For the formation energy from raw total energies, the calculation gives -590 meV/atom.

Cell lengths 6.9369, 7.9076, 3.5289 Å; angles 90.00, 103.80, 90.00 degrees
Last column: nearest neighbours and their distance in Å.
Space group C2/m (No. 12)
Unique sites:
Zr (0.0000, 0.0000, 0.0000) x2  4 Sb 2.93
Sc (0.0000, 0.5000, 0.0000) x2  4 Sb 2.93
Sb (0.2500, 0.2500, 0.5000) x4  2 Zr 2.93, 2 Sc 2.93

Material: ZrSiRh2
Method: DFT, PBE
State: optimized geometry

The value obtained for the raw total energy is -7.63 eV/atom. For the formation energy from raw total energies, the calculation gives -458 meV/atom.

Cell lengths 5.7047, 8.4178, 2.9636 Å; angles 90.00, 116.56, 90.00 degrees
Last column: nearest neighbours and their distance in Å.
Space group C2/m (No. 12)
Unique sites:
Zr (0.0000, 0.0000, 0.0000) x2  4 Rh 2.60, 2 Si 2.85
Si (0.0000, 0.5000, 0.0000) x2  4 Rh 2.60, 2 Zr 2.85
Rh (0.2500, 0.2500, 0.5000) x4  2 Zr 2.60, 2 Si 2.60, 2 Rh 2.85